No. 1
Below is K2AlW after structural relaxation, with properties calculated at the PBE-GGA level.

Properties
E_form in eV/f.u.: 5.14
Calculated total energy in eV per cell: -27.507
Total magnetization in μB/cell: 1.91

Structure (CIF):
```
data_K2AlW
_cell_length_a 4.040
_cell_length_b 4.040
_cell_length_c 11.845
_cell_angle_alpha 90.00
_cell_angle_beta 90.00
_cell_angle_gamma 90.00
_symmetry_space_group_name_H-M 'I 4/m m m'
_symmetry_Int_Tables_number 139
_symmetry_space_group_name_Hall '-I 4 2'
loop_
_atom_site_label
_atom_site_type_symbol
_atom_site_fract_x
_atom_site_fract_y
_atom_site_fract_z
K1 K 0.000 0.500 0.250
Al1 Al 0.000 0.000 0.000
W1 W 0.000 0.000 0.500
```

No. 2
Below is UGa5 after structural relaxation, with properties calculated at the PBE-GGA level.

Properties
Energy above the lowest structure with this stoichiometry in eV/atom: 0.014
E_form in eV/f.u.: -0.55
Calculated total energy in eV per cell: -53.946
Total magnetization in μB/cell: 5.09

Structure (CIF):
```
data_UGa5
_cell_length_a 4.148
_cell_length_b 12.245
_cell_length_c 4.477
_cell_angle_alpha 90.00
_cell_angle_beta 90.00
_cell_angle_gamma 90.00
_symmetry_space_group_name_H-M 'C m m m'
_symmetry_Int_Tables_number 65
_symmetry_space_group_name_Hall '-C 2 2'
loop_
_atom_site_label
_atom_site_type_symbol
_atom_site_fract_x
_atom_site_fract_y
_atom_site_fract_z
U1 U 0.000 0.000 0.000
Ga1 Ga 0.000 0.168 0.500
Ga2 Ga 0.000 0.319 0.000
Ga3 Ga 0.000 0.500 0.500
```

No. 3
Below is KNa2NpI6 after structural relaxation, with properties calculated at the PBE-GGA level.

Properties
Calculated total energy in eV per cell: -111.982
E_form (uncorrected) in meV per atom: -1135
Total magnetization in μB/cell: 12.00

Structure (CIF):
```
data_KNa2NpI6
_cell_length_a 8.1869
_cell_length_b 8.1869
_cell_length_c 22.7849
_cell_angle_alpha 90.00
_cell_angle_beta 90.00
_cell_angle_gamma 120.00
_symmetry_space_group_name_H-M 'R 3'
_symmetry_Int_Tables_number 146
_symmetry_space_group_name_Hall 'R 3'
loop_
_atom_site_label
_atom_site_type_symbol
_atom_site_fract_x
_atom_site_fract_y
_atom_site_fract_z
K1 K 0.0000 0.0000 0.0000
Na1 Na 0.0000 0.0000 0.2984
Na2 Na 0.0000 0.0000 0.8097
Np1 Np 0.0000 0.0000 0.4863
I1 I 0.0057 0.3487 0.2270
I2 I 0.0203 0.6270 0.0655
```

No. 4
Below is Pr5Ga2Sb after structural relaxation, with properties calculated at the PBE-GGA level.

Properties
Calculated total energy in eV per cell: -155.932
E_form (uncorrected) in meV per atom: -614
Total magnetization in μB/cell: 5.40

Structure (CIF):
```
data_Pr5Ga2Sb
_cell_length_a 8.182
_cell_length_b 8.182
_cell_length_c 14.209
_cell_angle_alpha 90.00
_cell_angle_beta 90.00
_cell_angle_gamma 90.00
_symmetry_space_group_name_H-M 'I 4/m c m'
_symmetry_Int_Tables_number 140
_symmetry_space_group_name_Hall '-I 4 2c'
loop_
_atom_site_label
_atom_site_type_symbol
_atom_site_fract_x
_atom_site_fract_y
_atom_site_fract_z
Pr1 Pr 0.000 0.000 0.000
Pr2 Pr 0.167 0.333 0.146
Ga1 Ga 0.124 0.376 0.500
Sb1 Sb 0.000 0.000 0.250
```

No. 5
Below is Tm2NpCo after structural relaxation, with properties calculated at the PBE-GGA level.

Properties
E_form in eV/f.u.: 1.77
Calculated total energy in eV per cell: -81.657
Total magnetization in μB/cell: 14.74

Structure (CIF):
```
data_Tm2NpCo
_cell_length_a 3.3852
_cell_length_b 3.3852
_cell_length_c 30.5504
_cell_angle_alpha 90.00
_cell_angle_beta 90.00
_cell_angle_gamma 120.00
_symmetry_space_group_name_H-M 'R -3 m'
_symmetry_Int_Tables_number 166
_symmetry_space_group_name_Hall '-R 3 2"'
loop_
_atom_site_label
_atom_site_type_symbol
_atom_site_fract_x
_atom_site_fract_y
_atom_site_fract_z
Tm1 Tm 0.0000 0.0000 0.1100
Np1 Np 0.0000 0.0000 0.0000
Co1 Co 0.0000 0.0000 0.5000
```

No. 6
Below is YHo3Se4 after structural relaxation, with properties calculated at the PBE-GGA level.

Properties
Energy above the lowest structure with this stoichiometry in eV/atom: 0.000
Calculated total energy in eV per cell: -95.947
E_form (uncorrected) in meV per atom: -1730
Total magnetization in μB/cell: 0.00

Structure (CIF):
```
data_YHo3Se4
_cell_length_a 8.217
_cell_length_b 11.496
_cell_length_c 4.016
_cell_angle_alpha 90.00
_cell_angle_beta 90.00
_cell_angle_gamma 90.00
_symmetry_space_group_name_H-M 'C m m m'
_symmetry_Int_Tables_number 65
_symmetry_space_group_name_Hall '-C 2 2'
loop_
_atom_site_label
_atom_site_type_symbol
_atom_site_fract_x
_atom_site_fract_y
_atom_site_fract_z
Y1 Y 0.000 0.000 0.000
Ho1 Ho 0.000 0.500 0.000
Ho2 Ho 0.250 0.250 0.500
Se1 Se 0.000 0.251 0.000
Se2 Se 0.248 0.500 0.500
```

No. 7
Below is Pu2Cd2Pd after structural relaxation, with properties calculated at the PBE-GGA level.

Properties
E_form in eV/f.u.: -0.12
Calculated total energy in eV per cell: -143.247
Total magnetization in μB/cell: 49.20

Structure (CIF):
```
data_Pu2Cd2Pd
_cell_length_a 4.714
_cell_length_b 4.714
_cell_length_c 23.630
_cell_angle_alpha 90.00
_cell_angle_beta 90.00
_cell_angle_gamma 90.00
_symmetry_space_group_name_H-M 'I 41/a m d'
_symmetry_Int_Tables_number 141
loop_
_symmetry_equiv_pos_as_xyz
'x,y,z'
'-x,-y,-z'
'-y+1/4,x+3/4,z+1/4'
'y+1/4,-x+3/4,-z+1/4'
'-x+1/2,-y,z+1/2'
'x+1/2,y,-z+1/2'
'y+1/4,-x+1/4,z+3/4'
'-y+1/4,x+1/4,-z+3/4'
'x,-y,-z'
'-x,y,z'
'-y+1/4,-x+1/4,-z+3/4'
'y+1/4,x+1/4,z+3/4'
'-x+1/2,y,-z+1/2'
'x+1/2,-y,z+1/2'
'y+1/4,x+3/4,-z+1/4'
'-y+1/4,-x+3/4,z+1/4'
'x+1/2,y+1/2,z+1/2'
'-x+1/2,-y+1/2,-z+1/2'
'-y+3/4,x+1/4,z+3/4'
'y+3/4,-x+1/4,-z+3/4'
'-x,-y+1/2,z'
'x,y+1/2,-z'
'y+3/4,-x+3/4,z+1/4'
'-y+3/4,x+3/4,-z+1/4'
'x+1/2,-y+1/2,-z+1/2'
'-x+1/2,y+1/2,z+1/2'
'-y+3/4,-x+3/4,-z+1/4'
'y+3/4,x+3/4,z+1/4'
'-x,y+1/2,-z'
'x,-y+1/2,z'
'y+3/4,x+1/4,-z+3/4'
'-y+3/4,-x+1/4,z+3/4'
loop_
_atom_site_label
_atom_site_type_symbol
_atom_site_fract_x
_atom_site_fract_y
_atom_site_fract_z
Pu1 Pu 0.000 0.250 0.055
Cd1 Cd 0.000 0.250 0.200
Pd1 Pd 0.000 0.250 0.375
```

No. 8
Below is ErZr2Co2 after structural relaxation, with properties calculated at the PBE-GGA level.

Properties
E_form in eV/f.u.: -0.80
Calculated total energy in eV per cell: -73.342
Total magnetization in μB/cell: 0.00

Structure (CIF):
```
data_ErZr2Co2
_cell_length_a 11.088
_cell_length_b 3.546
_cell_length_c 5.122
_cell_angle_alpha 90.00
_cell_angle_beta 101.84
_cell_angle_gamma 90.00
_symmetry_space_group_name_H-M 'C 1 2/m 1'
_symmetry_Int_Tables_number 12
loop_
_symmetry_equiv_pos_as_xyz
'x,y,z'
'-x,-y,-z'
'-x,y,-z'
'x,-y,z'
'x+1/2,y+1/2,z'
'-x+1/2,-y+1/2,-z'
'-x+1/2,y+1/2,-z'
'x+1/2,-y+1/2,z'
loop_
_atom_site_label
_atom_site_type_symbol
_atom_site_fract_x
_atom_site_fract_y
_atom_site_fract_z
Er1 Er 0.000 0.000 0.000
Zr1 Zr 0.144 0.500 0.566
Co1 Co 0.228 0.500 0.131
```